[1]
DFT (PBE) results for Zn2InHg after structural relaxation.

Geometry as extended XYZ:
```
4
Lattice="-2.176 -3.287 4.614 2.602 -5.086 2.047 0.894 5.861 -1.297" Properties=species:S:1:pos:R:3 pbc="T T T"
Hg 0.217 -4.260 3.389
In 1.844 -1.502 1.878
Zn 0.417 -8.183 6.510
Zn -0.518 -1.127 3.580
```

Results
- Energy: -1.27 eV per atom
- Distance to the lowest polymorph of the same formula: 35 meV per atom
- Calculated formation energy: 0.123 eV/atom
- SG: No. 44

=====

[2]
DFT (PBE) results for ZnIn2Hg4 after structural relaxation.

Geometry as extended XYZ:
```
7
Lattice="5.272 0.000 0.000 0.000 5.272 0.000 2.636 2.636 7.476" Properties=species:S:1:pos:R:3 pbc="T T T"
Zn 0.000 0.000 0.000
Hg 5.272 5.272 2.759
Hg 2.636 2.636 4.717
Hg 0.000 2.636 0.000
Hg 2.636 0.000 0.000
In 5.272 5.272 5.673
In 2.636 2.636 1.803
```

Results
- Energy: -1.01 eV per atom
- Distance to the lowest polymorph of the same formula: 86 meV per atom
- Calculated formation energy: 0.126 eV/atom
- SG: No. 139

=====

[3]
DFT (PBE) results for Zn2In4Hg5 after structural relaxation.

Geometry as extended XYZ:
```
11
Lattice="3.425 0.000 0.000 0.000 7.080 -0.326 0.000 -0.055 11.485" Properties=species:S:1:pos:R:3 pbc="T T T"
Zn 0.000 6.487 8.196
Zn 0.000 0.538 2.963
In 1.713 4.571 6.745
In 1.713 5.984 0.837
In 1.713 2.454 4.414
In 1.713 1.041 10.322
Hg 0.000 2.587 1.059
Hg 0.000 4.801 3.305
Hg 0.000 -0.027 5.742
Hg 0.000 2.224 7.854
Hg 0.000 4.438 10.100
```

Results
- Energy: -1.30 eV per atom
- Calculated formation energy: 0.065 eV/atom
- SG: No. 10

=====

[4]
DFT (PBE) results for ZnInHg3 after structural relaxation.

Geometry as extended XYZ:
```
10
Lattice="-1.480 3.643 -4.355 -2.477 -5.493 -3.752 -4.307 3.522 4.408" Properties=species:S:1:pos:R:3 pbc="T T T"
Zn 0.000 0.000 0.000
Zn -0.740 1.821 -2.178
In -4.197 0.244 -4.297
In -4.066 1.428 0.598
Hg -6.128 2.185 -2.020
Hg -5.039 -1.356 -1.398
Hg -2.135 -0.513 -1.679
Hg -3.224 3.028 -2.301
Hg -3.195 -2.864 -3.285
Hg -5.068 4.536 -0.414
```

Results
- Energy: -0.90 eV per atom
- Distance to the lowest polymorph of the same formula: 32 meV per atom
- Calculated formation energy: 0.082 eV/atom
- SG: No. 194